Arrangement one

A plane-wave DFT calculation with GGA-PBE was carried out for an optimized crystal structure of As2PAuBr.

a = 5.120 Å, b = 5.120 Å, c = 5.082 Å
α = 90.00°, β = 90.00°, γ = 90.00°
Space group P4/mmm (No. 123)
Symmetry-distinct sites (fractional):
As  0.000  0.500  0.000 x2
P  0.000  0.000  0.500 x1
Au  0.500  0.500  0.000 x1
Br  0.500  0.500  0.500 x1

Results
Crystal system: tetragonal

---

Arrangement two

A plane-wave DFT calculation with GGA-PBE was carried out for an optimized crystal structure of As2PAuBr.

a = 4.858 Å, b = 4.858 Å, c = 4.909 Å
α = 90.00°, β = 90.00°, γ = 90.00°
Space group P4/mmm (No. 123)
Symmetry-distinct sites (fractional):
As  0.000  0.500  0.000 x2
P  0.000  0.000  0.000 x1
Au  0.500  0.500  0.500 x1
Br  0.000  0.000  0.500 x1

Results
Crystal system: tetragonal

---

It comes down to arrangement two, which is 28.5 kJ/mol of atoms more stable than the next structure.